[1]
LaAg2SnS4 PBE relaxed; VASP energy = -0.3419 Ry/atom; size of the total moment = 0.000 μB per formula unit; ΔE_f (raw) = -0.758 eV/atom
1.0
-1.843 7.750 -0.438
-4.036 -0.537 6.861
7.837 -2.572 -0.565
Sn S Ag La
2 8 4 2
Direct
0.000 0.000 0.000
0.500 0.500 0.500
0.252 0.759 0.005
0.741 0.248 0.495
0.256 0.245 0.009
0.259 0.752 0.505
0.748 0.241 0.995
0.745 0.756 0.509
0.255 0.244 0.491
0.744 0.755 0.991
0.500 0.500 0.000
0.500 0.000 0.500
0.500 0.000 0.000
0.000 0.000 0.500
0.000 0.500 0.500
0.000 0.500 0.000

***

[2]
SrLaAg2S PBE relaxed; VASP energy = -0.1824 Ry/atom; size of the total moment = 0.997 μB per formula unit; ΔE_f (raw) = 0.806 eV/atom
1.0
5.305 0.000 0.000
0.000 7.471 0.000
0.000 0.000 5.305
Sr Ag S La
1 2 1 1
Direct
0.000 0.000 0.000
0.000 0.000 0.500
0.500 0.000 0.000
0.500 0.500 0.500
0.000 0.500 0.000